# 1
Compound: BaZrGaIr2
Source: Alexandria
Functional: PBE
Structure: relaxed

Total magnetic moment in μB per formula unit: 0.0
E_form in eV per atom: 1.9384
Space-group type: No. 123

a b c (Å): 5.0632 5.0632 5.2606
angles (deg): 90.00 90.00 90.00
Fractional positions:
Ba 0.0000 0.0000 0.0000
Zr 0.5000 0.5000 0.5000
Ga 0.0000 0.0000 0.5000
Ir 0.0000 0.5000 0.0000
Ir 0.5000 0.0000 0.0000


# 2
Compound: BaZrGa2Ir
Source: Alexandria
Functional: PBE
Structure: relaxed

Total magnetic moment in μB per formula unit: 0.0
E_form in eV per atom: 0.0910
Space-group type: No. 123

a b c (Å): 5.3359 5.3359 4.9901
angles (deg): 90.00 90.00 90.00
Fractional positions:
Ba 0.0000 0.0000 0.0000
Zr 0.5000 0.5000 0.5000
Ga 0.0000 0.5000 0.5000
Ga 0.5000 0.0000 0.5000
Ir 0.5000 0.5000 0.0000


# 3
Compound: K2BaGa2
Source: Alexandria
Functional: PBE
Structure: relaxed

Total magnetic moment in μB per formula unit: 0.0
E_form in eV per atom: -0.0202
Space-group type: No. 139

a b c (Å): 8.2575 8.2575 8.2575
angles (deg): 143.37 143.37 52.77
Fractional positions:
K 0.2500 0.7500 0.5000
K 0.7500 0.2500 0.5000
Ba 0.0000 0.0000 0.0000
Ga 0.4184 0.4184 0.0000
Ga 0.5816 0.5816 0.0000


# 4
Compound: KBaGa3
Source: Alexandria
Functional: PBE
Structure: relaxed

Total magnetic moment in μB per formula unit: 0.0
E_form in eV per atom: 0.5678
Space-group type: No. 221

a b c (Å): 6.1489 6.1489 6.1489
angles (deg): 90.00 90.00 90.00
Fractional positions:
K 0.0000 0.0000 0.0000
Ba 0.5000 0.5000 0.5000
Ga 0.0000 0.5000 0.5000
Ga 0.5000 0.0000 0.5000
Ga 0.5000 0.5000 0.0000


# 5
Compound: K2Ba2Ga
Source: Alexandria
Functional: PBE
Structure: relaxed

Total magnetic moment in μB per formula unit: 0.0
E_form in eV per atom: 0.0988
Space-group type: No. 127

a b c (Å): 8.8914 8.8914 7.6273
angles (deg): 90.00 90.00 90.00
Fractional positions:
K 0.1738 0.3262 0.0000
K 0.3262 0.8262 0.0000
K 0.6738 0.1738 0.0000
K 0.8262 0.6738 0.0000
Ba 0.1737 0.6737 0.5000
Ba 0.3263 0.1737 0.5000
Ba 0.6737 0.8263 0.5000
Ba 0.8263 0.3263 0.5000
Ga 0.0000 0.0000 0.5000
Ga 0.5000 0.5000 0.5000


# 6
Compound: K2BaGa6
Source: Alexandria
Functional: PBE
Structure: relaxed

Total magnetic moment in μB per formula unit: 0.0
E_form in eV per atom: -0.0586
Space-group type: No. 71

a b c (Å): 8.3801 8.3801 8.3801
angles (deg): 149.11 99.90 88.28
Fractional positions:
K 0.1419 0.1419 0.0000
K 0.8581 0.8581 0.0000
Ba 0.5000 0.0000 0.5000
Ga 0.0402 0.2965 0.7437
Ga 0.2390 0.5000 0.7390
Ga 0.4473 0.7035 0.7437
Ga 0.5527 0.2965 0.2563
Ga 0.7610 0.5000 0.2610
Ga 0.9598 0.7035 0.2563


# 7
Compound: KBaGa3
Source: Alexandria
Functional: PBE
Structure: relaxed

Total magnetic moment in μB per formula unit: 0.0
E_form in eV per atom: 0.5049
Space-group type: No. 221

a b c (Å): 5.7241 5.7241 5.7241
angles (deg): 90.00 90.00 90.00
Fractional positions:
K 0.0000 0.0000 0.0000
Ba 0.5000 0.5000 0.5000
Ga 0.0000 0.0000 0.5000
Ga 0.0000 0.5000 0.0000
Ga 0.5000 0.0000 0.0000


# 8
Compound: KBaGa3
Source: Alexandria
Functional: PBE
Structure: relaxed

Total magnetic moment in μB per formula unit: 0.0
E_form in eV per atom: -0.2692
Space-group type: No. 63

a b c (Å): 14.2776 14.2776 4.4383
angles (deg): 90.00 90.00 158.94
Fractional positions:
K 0.2061 0.7939 0.7500
K 0.7939 0.2061 0.2500
Ba 0.0702 0.9298 0.2500
Ba 0.9298 0.0702 0.7500
Ga 0.3408 0.6592 0.7500
Ga 0.3852 0.6148 0.2500
Ga 0.4772 0.5228 0.2500
Ga 0.5228 0.4772 0.7500
Ga 0.6148 0.3852 0.7500
Ga 0.6592 0.3408 0.2500


# 9
Compound: KBa2LiGa
Source: Alexandria
Functional: PBE
Structure: relaxed

Total magnetic moment in μB per formula unit: 0.0
E_form in eV per atom: -0.0015
Space-group type: No. 123

a b c (Å): 6.6668 6.6668 5.4585
angles (deg): 90.00 90.00 90.00
Fractional positions:
K 0.0000 0.0000 0.0000
Ba 0.0000 0.5000 0.5000
Ba 0.5000 0.0000 0.5000
Li 0.5000 0.5000 0.0000
Ga 0.5000 0.5000 0.5000


# 10
Compound: KBa2MgGa
Source: Alexandria
Functional: PBE
Structure: relaxed

Total magnetic moment in μB per formula unit: 0.0
E_form in eV per atom: -0.0158
Space-group type: No. 123

a b c (Å): 6.7231 6.7231 5.3033
angles (deg): 90.00 90.00 90.00
Fractional positions:
K 0.0000 0.0000 0.0000
Ba 0.0000 0.5000 0.5000
Ba 0.5000 0.0000 0.5000
Mg 0.5000 0.5000 0.0000
Ga 0.5000 0.5000 0.5000


# 11
Compound: KBaMn2Ga
Source: Alexandria
Functional: PBE
Structure: relaxed

Total magnetic moment in μB per formula unit: 7.8
E_form in eV per atom: 0.6473
Space-group type: No. 123

a b c (Å): 5.1177 5.1177 6.2652
angles (deg): 90.00 90.00 90.00
Fractional positions:
K 0.0000 0.0000 0.0000
Ba 0.5000 0.5000 0.0000
Mn 0.0000 0.5000 0.5000
Mn 0.5000 0.0000 0.5000
Ga 0.5000 0.5000 0.5000


# 12
Compound: KBaNaGa
Source: Alexandria
Functional: PBE
Structure: relaxed

Total magnetic moment in μB per formula unit: 0.9
E_form in eV per atom: 0.0348
Space-group type: No. 216

a b c (Å): 5.9052 5.9052 5.9052
angles (deg): 60.00 60.00 60.00
Fractional positions:
K 0.0000 0.0000 0.0000
Ba 0.2500 0.2500 0.2500
Na 0.7500 0.7500 0.7500
Ga 0.5000 0.5000 0.5000


The records above give, respectively, volume values of 27.0, 28.4, 39.8, 46.5, 60.3, 32.2, 37.5, 32.5, 48.5, 47.9, 32.8, 36.4 A^3/atom.